1.
This record from Alexandria describes a geometry-optimized PuMgPb structure. The functional is PBE-GGA.

abc: 4.9407 3.4819 8.5821
angles: 90.00 101.97 90.00
Closest atoms and distances in Å follow each position.
Fractional positions:
1 Mg 0.2292 0.2500 0.4465  4 Pb 3.00-3.15, 4 Mg 3.14-3.17
2 Mg 0.7708 0.7500 0.5535  4 Pb 3.00-3.15, 4 Mg 3.14-3.17
3 Pb 0.6528 0.2500 0.2408  4 Mg 3.00-3.15, 5 Pu 3.21-3.35
4 Pb 0.3472 0.7500 0.7592  4 Mg 3.00-3.15, 5 Pu 3.21-3.35
5 Pu 0.8966 0.2500 0.9223  2 Pu 2.30
6 Pu 0.1034 0.7500 0.0777  2 Pu 2.30

The space-group type is P2_1/m, No. 11. Its total energy is -6.45 eV per atom. The formation energy comes out at 0.096 eV/atom.



2.
This record from Alexandria describes a geometry-optimized ZrTlAsClO structure. The functional is PBE-GGA.

abc: 10.0421 3.5063 6.4546
angles: 90.00 89.93 90.00
Closest atoms and distances in Å follow each position.
Fractional positions:
1 Zr 0.1205 0.0000 0.2410  3 O 2.08-2.11
2 Zr 0.1205 0.5000 0.7410  3 O 2.08-2.11
3 Tl 0.5739 0.0000 0.5713  3 As 3.07-3.09
4 Tl 0.5739 0.5000 0.0713  3 As 3.07-3.09
5 As 0.3481 0.0000 0.8931  3 Zr 3.04-3.20, 3 O 3.07-3.08, 3 Tl 3.07-3.09
6 As 0.3481 0.5000 0.3931  3 Zr 3.04-3.20, 3 O 3.07-3.08, 3 Tl 3.07-3.09
7 Cl 0.9296 0.0000 0.8862  3 Zr 2.76-2.99, 3 O 2.83-2.87
8 Cl 0.9296 0.5000 0.3862  3 Zr 2.76-2.99, 3 O 2.83-2.87
9 O 0.1235 0.0000 0.5682  3 Zr 2.08-2.11
10 O 0.1235 0.5000 0.0682  3 Zr 2.08-2.11

The space-group type is Cm, No. 8. Its total energy is -5.81 eV per atom. The calculation puts the energy relative to the elements, uncorrected at -1.337 eV per atom.



3.
This record from Alexandria describes a geometry-optimized VBi2W structure. The functional is PBE-GGA.

abc: 4.8928 4.8928 4.8928
angles: 60.00 60.00 60.00
Closest atoms and distances in Å follow each position.
Fractional positions:
1 Bi 0.2500 0.2500 0.2500  4 W 3.00, 4 V 3.00
2 Bi 0.7500 0.7500 0.7500  4 W 3.00, 4 V 3.00
3 W 0.5000 0.5000 0.5000  8 Bi 3.00
4 V 0.0000 0.0000 0.0000  8 Bi 3.00

The space-group type is Fm-3m, No. 225. Its total energy is -6.66 eV per atom. The formation energy comes out at 0.796 eV/atom.



4.
This record from Alexandria describes a geometry-optimized CdBPOs2 structure. The functional is PBE-GGA.

abc: 4.1852 4.2136 4.1852
angles: 90.00 90.00 90.00
Closest atoms and distances in Å follow each position.
Fractional positions:
1 P 0.0000 0.5000 0.0000  2 B 2.11
2 B 0.0000 0.0000 0.0000  4 Os 2.09, 2 P 2.11
3 Os 0.0000 0.0000 0.5000  2 B 2.09
4 Os 0.5000 0.0000 0.0000  2 B 2.09
5 Cd 0.5000 0.5000 0.5000  4 P 2.96, 8 Os 2.97

The space-group type is P4/mmm, No. 123. Its total energy is -6.30 eV per atom. The formation energy comes out at 0.797 eV/atom.



5.
This record from Alexandria describes a geometry-optimized KIn2Tc structure. The functional is PBE-GGA.

abc: 4.7517 4.7517 7.7248
angles: 85.04 85.04 36.52
Closest atoms and distances in Å follow each position.
Fractional positions:
1 In 0.9846 0.9846 0.0712  3 Tc 2.84-2.87, 4 In 2.98-3.17
2 In 0.5154 0.5154 0.4288  3 Tc 2.84-2.87, 4 In 2.98-3.17
3 K 0.7500 0.7500 0.7500  2 K 2.98
4 Tc 0.2500 0.2500 0.2500  6 In 2.84-2.87, 2 Tc 2.98

The space-group type is C2/m, No. 12. Its total energy is -3.82 eV per atom. The formation energy comes out at 0.419 eV/atom.



6.
This record from Alexandria describes a geometry-optimized BaCuBr2 structure. The functional is PBE-GGA.

abc: 5.1668 5.1668 4.2531
angles: 90.16 90.16 90.05
Closest atoms and distances in Å follow each position.
Fractional positions:
1 Ba 0.0000 0.5000 0.5000  8 Br 3.34-3.35, 4 Cu 3.65-3.66
2 Br 0.0000 0.0000 0.0000  4 Cu 3.34-3.35, 4 Ba 3.34-3.35, 4 Br 3.65-3.66
3 Br 0.5000 0.5000 0.0000  4 Ba 3.34-3.35, 4 Cu 3.34-3.35, 4 Br 3.65-3.66
4 Cu 0.5000 0.0000 0.5000  8 Br 3.34-3.35, 4 Ba 3.65-3.66

The space-group type is C2/m, No. 12. Its total energy is -3.25 eV per atom. The calculation puts the energy relative to the elements, uncorrected at -0.904 eV per atom.